## NaPmFeO4 (PBE+U)

Data for crystalline NaPmFeO4 at its relaxed geometry.

Cell lengths 5.814, 5.358, 7.451 Å; angles 90.00, 105.87, 90.00 degrees
Element x y z (fractional)
1 Na 0.343 0.750 0.853
2 Na 0.657 0.250 0.147
3 Pm 0.758 0.750 0.455
4 Pm 0.242 0.250 0.545
5 Fe 0.200 0.750 0.282
6 Fe 0.800 0.250 0.718
7 O 0.005 0.502 0.703
8 O 0.995 0.002 0.297
9 O 0.995 0.498 0.297
10 O 0.005 0.998 0.703
11 O 0.442 0.750 0.172
12 O 0.558 0.250 0.828
13 O 0.389 0.750 0.535
14 O 0.611 0.250 0.465

* density of states at the Fermi level: 0.48 states/eV/atom
* magnetic moment: 4.0 μB per formula unit
* calculated total energy: -6.467 eV per atom